1.
## BaMo (PBE-GGA)

Data for crystalline BaMo at its relaxed geometry.

## Properties
Mass density, g/cm³: 6.18
VASP energy, eV/atom: -5.715
DFT formation energy, meV per atom: 662
Energy above the lowest structure with this stoichiometry, meV/atom: 103.5

abc: 3.472 20.023 3.606
angles: 90.00 90.00 90.00
Fractional coordinates of all 8 atoms:
Ba  0.000  0.098  0.250
Ba  0.000  0.902  0.750
Ba  0.500  0.402  0.750
Ba  0.500  0.598  0.250
Mo  0.000  0.269  0.250
Mo  0.000  0.731  0.750
Mo  0.500  0.231  0.750
Mo  0.500  0.769  0.250

---

2.
## BaMo3 (PBE-GGA)

Data for crystalline BaMo3 at its relaxed geometry.

## Properties
Mass density, g/cm³: 9.21
VASP energy, eV/atom: -7.242
DFT formation energy, meV per atom: 1362
Energy above the lowest structure with this stoichiometry, meV/atom: 597.7

abc: 4.861 4.861 3.242
angles: 90.00 90.00 90.00
Fractional coordinates of all 4 atoms:
Ba  0.000  0.000  0.000
Mo  0.000  0.500  0.500
Mo  0.500  0.000  0.500
Mo  0.500  0.500  0.000

---

3.
## BaMo (PBE-GGA)

Data for crystalline BaMo at its relaxed geometry.

## Properties
Mass density, g/cm³: 5.59
VASP energy, eV/atom: -5.473
DFT formation energy, meV per atom: 904
Energy above the lowest structure with this stoichiometry, meV/atom: 345.6

abc: 4.456 3.379 9.201
angles: 90.00 90.00 90.00
Fractional coordinates of all 4 atoms:
Ba  0.250  0.000  0.215
Ba  0.750  0.000  0.785
Mo  0.250  0.500  0.542
Mo  0.750  0.500  0.458

---

4.
## BaMo3 (PBE-GGA)

Data for crystalline BaMo3 at its relaxed geometry.

## Properties
Mass density, g/cm³: 7.79
VASP energy, eV/atom: -7.346
DFT formation energy, meV per atom: 1258
Energy above the lowest structure with this stoichiometry, meV/atom: 493.8

abc: 7.035 7.035 8.459
angles: 90.00 90.00 120.00
Fractional coordinates of all 16 atoms:
Ba  0.000  0.000  0.000
Ba  0.000  0.000  0.500
Ba  0.333  0.667  0.250
Ba  0.667  0.333  0.750
Mo  0.000  0.500  0.000
Mo  0.000  0.500  0.500
Mo  0.215  0.429  0.750
Mo  0.215  0.785  0.750
Mo  0.429  0.215  0.250
Mo  0.500  0.000  0.000
Mo  0.500  0.000  0.500
Mo  0.500  0.500  0.000
Mo  0.500  0.500  0.500
Mo  0.571  0.785  0.750
Mo  0.785  0.215  0.250
Mo  0.785  0.571  0.250

---

5.
## Ba5Mo4 (PBE-GGA)

Data for crystalline Ba5Mo4 at its relaxed geometry.

## Properties
Mass density, g/cm³: 5.76
VASP energy, eV/atom: -5.022
DFT formation energy, meV per atom: 860
Energy above the lowest structure with this stoichiometry, meV/atom: 0.0

abc: 8.375 8.375 8.375
angles: 94.68 94.68 146.79
Fractional coordinates of all 9 atoms:
Ba  0.000  0.000  0.000
Ba  0.325  0.325  0.651
Ba  0.325  0.675  0.000
Ba  0.675  0.325  0.000
Ba  0.675  0.675  0.349
Mo  0.000  0.401  0.401
Mo  0.000  0.599  0.599
Mo  0.401  0.000  0.401
Mo  0.599  0.000  0.599

---

6.
## Ba2Mo (PBE-GGA)

Data for crystalline Ba2Mo at its relaxed geometry.

## Properties
Mass density, g/cm³: 5.21
VASP energy, eV/atom: -3.879
DFT formation energy, meV per atom: 1013
Energy above the lowest structure with this stoichiometry, meV/atom: 462.0

abc: 3.951 3.951 15.125
angles: 90.00 90.00 90.00
Fractional coordinates of all 6 atoms:
Ba  0.000  0.000  0.133
Ba  0.000  0.000  0.867
Ba  0.500  0.500  0.367
Ba  0.500  0.500  0.633
Mo  0.000  0.000  0.500
Mo  0.500  0.500  0.000

---

7.
## BaMo3 (PBE-GGA)

Data for crystalline BaMo3 at its relaxed geometry.

## Properties
Mass density, g/cm³: 8.28
VASP energy, eV/atom: -7.374
DFT formation energy, meV per atom: 1230
Energy above the lowest structure with this stoichiometry, meV/atom: 466.3

abc: 3.031 5.582 10.076
angles: 90.00 90.00 90.00
Fractional coordinates of all 8 atoms:
Ba  0.000  0.000  0.000
Ba  0.500  0.500  0.500
Mo  0.000  0.000  0.500
Mo  0.000  0.500  0.210
Mo  0.000  0.500  0.790
Mo  0.500  0.000  0.290
Mo  0.500  0.000  0.710
Mo  0.500  0.500  0.000

---

8.
## Ba2Mo (PBE-GGA)

Data for crystalline Ba2Mo at its relaxed geometry.

## Properties
Mass density, g/cm³: 4.72
VASP energy, eV/atom: -3.728
DFT formation energy, meV per atom: 1164
Energy above the lowest structure with this stoichiometry, meV/atom: 612.9

abc: 8.050 8.050 8.050
angles: 90.00 90.00 90.00
Fractional coordinates of all 12 atoms:
Ba  0.158  0.158  0.158
Ba  0.158  0.342  0.658
Ba  0.342  0.658  0.158
Ba  0.342  0.842  0.658
Ba  0.658  0.158  0.342
Ba  0.658  0.342  0.842
Ba  0.842  0.658  0.342
Ba  0.842  0.842  0.842
Mo  0.000  0.000  0.500
Mo  0.000  0.500  0.000
Mo  0.500  0.000  0.000
Mo  0.500  0.500  0.500

---

9.
## Ba2Mo (PBE-GGA)

Data for crystalline Ba2Mo at its relaxed geometry.

## Properties
Mass density, g/cm³: 5.09
VASP energy, eV/atom: -4.341
DFT formation energy, meV per atom: 551
Energy above the lowest structure with this stoichiometry, meV/atom: 0.0

abc: 13.567 3.917 9.949
angles: 90.00 113.76 90.00
Fractional coordinates of all 12 atoms:
Ba  0.005  0.000  0.188
Ba  0.178  0.500  0.653
Ba  0.322  0.000  0.347
Ba  0.495  0.500  0.812
Ba  0.505  0.500  0.188
Ba  0.678  0.000  0.653
Ba  0.822  0.500  0.347
Ba  0.995  0.000  0.812
Mo  0.212  0.500  0.036
Mo  0.288  0.000  0.964
Mo  0.712  0.000  0.036
Mo  0.788  0.500  0.964

---

10.
## BaMo (PBE-GGA)

Data for crystalline BaMo at its relaxed geometry.

## Properties
Mass density, g/cm³: 2.81
VASP energy, eV/atom: -3.806
DFT formation energy, meV per atom: 2571
Energy above the lowest structure with this stoichiometry, meV/atom: 2012.1

abc: 9.382 9.382 9.382
angles: 90.00 90.00 90.00
Fractional coordinates of all 12 atoms:
Ba  0.000  0.250  0.500
Ba  0.000  0.750  0.500
Ba  0.250  0.500  0.000
Ba  0.500  0.000  0.250
Ba  0.500  0.000  0.750
Ba  0.750  0.500  0.000
Mo  0.000  0.500  0.250
Mo  0.000  0.500  0.750
Mo  0.250  0.000  0.500
Mo  0.500  0.250  0.000
Mo  0.500  0.750  0.000
Mo  0.750  0.000  0.500

---

11.
## Ba2Mo (PBE-GGA)

Data for crystalline Ba2Mo at its relaxed geometry.

## Properties
Mass density, g/cm³: 5.14
VASP energy, eV/atom: -3.815
DFT formation energy, meV per atom: 1077
Energy above the lowest structure with this stoichiometry, meV/atom: 526.1

abc: 3.921 20.540 5.946
angles: 90.00 90.00 90.00
Fractional coordinates of all 12 atoms:
Ba  0.000  0.073  0.250
Ba  0.000  0.189  0.750
Ba  0.000  0.811  0.250
Ba  0.000  0.927  0.750
Ba  0.500  0.311  0.250
Ba  0.500  0.427  0.750
Ba  0.500  0.573  0.250
Ba  0.500  0.689  0.750
Mo  0.000  0.446  0.250
Mo  0.000  0.554  0.750
Mo  0.500  0.054  0.750
Mo  0.500  0.946  0.250

---

12.
## BaMo2 (PBE-GGA)

Data for crystalline BaMo2 at its relaxed geometry.

## Properties
Mass density, g/cm³: 7.09
VASP energy, eV/atom: -6.824
DFT formation energy, meV per atom: 1038
Energy above the lowest structure with this stoichiometry, meV/atom: 437.2

abc: 3.196 25.121 3.839
angles: 90.00 90.00 90.00
Fractional coordinates of all 12 atoms:
Ba  0.000  0.124  0.250
Ba  0.000  0.876  0.750
Ba  0.500  0.376  0.750
Ba  0.500  0.624  0.250
Mo  0.000  0.238  0.750
Mo  0.000  0.472  0.250
Mo  0.000  0.528  0.750
Mo  0.000  0.762  0.250
Mo  0.500  0.028  0.750
Mo  0.500  0.262  0.250
Mo  0.500  0.738  0.750
Mo  0.500  0.972  0.250